# Li4NbCo3O8

Crystalline Li4NbCo3O8 at its relaxed geometry (PBE+U, Alexandria).

## Properties
Polymorph energy (0 for the lowest one), kJ/mol of formula units: 0
Spin magnetization, μB/f.u.: 10.02

Lattice parameters (Å, degrees): 5.985 5.985 6.023 119.85 119.85 60.69
Sites, in units of the cell vectors:
1 Li 0.000 0.000 0.000
2 Li 0.000 0.500 0.000
3 Li 0.500 0.000 0.000
4 Li 0.500 0.500 0.000
5 Nb 0.000 0.000 0.500
6 Co 0.000 0.500 0.500
7 Co 0.500 0.000 0.500
8 Co 0.500 0.500 0.500
9 O 0.236 0.758 0.259
10 O 0.240 0.240 0.738
11 O 0.242 0.764 0.741
12 O 0.273 0.273 0.286
13 O 0.727 0.727 0.714
14 O 0.758 0.236 0.259
15 O 0.760 0.760 0.262
16 O 0.764 0.242 0.741